TbTh2Ru: optimized geometry, PBE.

Summary:
The relative energy among the computed polymorphs is 202.5 meV per atom.

Lattice parameters (Å, degrees): 3.633 3.633 8.278 90.00 90.00 90.00
Atoms (fractional coordinates):
Ru: 0.500 0.500 0.000
Tb: 0.500 0.500 0.500
Th: 0.000 0.000 0.800
Th: 0.000 0.000 0.200